LiAlFeO3 | Alexandria | GGA+U | relaxed; total magnetization = 4.000 μB/f.u.; E = -6.5983 eV/atom; symmetry = No. 2; V = 10.66 A^3/atom; crystal system = triclinic
1.0
-4.6852 -0.8693 -2.3574
-0.2134 -4.8052 -2.6098
-3.0319 -3.8750 2.4644
Li Fe Al O
2 2 2 6
direct
0.0705 0.4261 0.2495
0.9295 0.5739 0.7505
0.5694 0.2625 0.4076
0.4306 0.7375 0.5924
0.7552 0.0810 0.9138
0.2448 0.9190 0.0862
0.5724 0.9190 0.7901
0.7503 0.3883 0.6092
0.9264 0.2106 0.0784
0.0736 0.7894 0.9216
0.4276 0.0810 0.2099
0.2497 0.6117 0.3908